# 1
{
  "formula": "Y2Mn12Co5",
  "functional": "PBEsol",
  "state": "relaxed",
  "lattice_angstrom": [[-1.729, 5.780, 1.404], [-5.958, -1.435, 0.902], [0.560, -0.754, 6.123]],
  "species": ["Mn", "Mn", "Mn", "Mn", "Mn", "Mn", "Mn", "Mn", "Mn", "Mn", "Mn", "Mn", "Co", "Co", "Co", "Co", "Co", "Y", "Y"],
  "fractional_positions": [[0.730, 0.000, 0.270], [0.130, 0.648, 0.648], [0.648, 0.648, 0.130], [0.870, 0.352, 0.352], [0.648, 0.130, 0.648], [0.352, 0.870, 0.352], [0.270, 0.000, 0.730], [0.270, 0.730, 0.000], [0.352, 0.352, 0.870], [0.730, 0.270, 0.000], [0.000, 0.730, 0.270], [0.000, 0.270, 0.730], [0.000, 0.000, 0.500], [0.103, 0.103, 0.103], [0.500, 0.000, 0.000], [0.000, 0.500, 0.000], [0.897, 0.897, 0.897], [0.651, 0.651, 0.651], [0.349, 0.349, 0.349]],
  "ef_ev_per_atom": 0.05,
  "magnetic_moment_mub_per_cell": 9.106
}

=====

# 2
{
  "formula": "LiBe2Cd",
  "functional": "PBEsol",
  "state": "relaxed",
  "lattice_angstrom": [[-2.685, -0.253, -0.170], [-1.441, -0.620, 2.200], [-2.280, 8.122, 2.456]],
  "species": ["Cd", "Be", "Be", "Li"],
  "fractional_positions": [[0.500, 0.500, 0.500], [0.747, 0.747, 0.758], [0.253, 0.253, 0.242], [0.000, 0.000, 0.000]],
  "ef_ev_per_atom": 0.46,
  "magnetic_moment_mub_per_cell": 0.000
}

=====

# 3
{
  "formula": "Rb2TeAu2",
  "functional": "PBEsol",
  "state": "relaxed",
  "lattice_angstrom": [[-3.607, -4.909, 0.739], [5.196, -1.146, -3.056], [2.252, 2.265, 5.239]],
  "species": ["Rb", "Rb", "Au", "Au", "Te"],
  "fractional_positions": [[0.500, 0.250, 0.750], [0.500, 0.750, 0.250], [0.000, 0.662, 0.662], [0.000, 0.338, 0.338], [0.000, 0.000, 0.000]],
  "raw_formation_energy_mev_per_atom": -419,
  "magnetic_moment_mub_per_cell": 0.000
}

=====

# 4
{
  "formula": "CdHg",
  "functional": "PBEsol",
  "state": "relaxed",
  "lattice_angstrom": [[-0.907, -2.568, 1.889], [2.307, -1.951, 1.363], [0.556, 1.196, 4.802]],
  "species": ["Hg", "Cd"],
  "fractional_positions": [[0.500, 0.500, 0.500], [0.000, 0.000, 0.000]],
  "ef_ev_per_atom": -0.01,
  "magnetic_moment_mub_per_cell": 0.000
}

=====

# 5
{
  "formula": "BaSrCd2",
  "functional": "PBEsol",
  "state": "relaxed",
  "lattice_angstrom": [[-3.129, -2.281, -1.221], [1.254, 0.338, -3.847], [4.528, -6.687, 0.890]],
  "species": ["Ba", "Cd", "Cd", "Sr"],
  "fractional_positions": [[0.500, 0.500, 0.500], [0.000, 0.000, 0.767], [0.000, 0.000, 0.233], [0.500, 0.500, 0.000]],
  "ef_ev_per_atom": -0.31,
  "magnetic_moment_mub_per_cell": 0.000
}

=====

# 6
{
  "formula": "Cu3Sn",
  "functional": "PBEsol",
  "state": "relaxed",
  "lattice_angstrom": [[4.286, 0.000, 0.000], [0.000, 5.447, 0.000], [0.000, -2.724, 4.718]],
  "species": ["Cu", "Cu", "Cu", "Cu", "Cu", "Cu", "Sn", "Sn"],
  "fractional_positions": [[0.750, 0.687, 0.844], [0.250, 0.844, 0.156], [0.250, 0.844, 0.687], [0.750, 0.156, 0.313], [0.250, 0.313, 0.156], [0.750, 0.156, 0.844], [0.750, 0.667, 0.333], [0.250, 0.333, 0.667]],
  "ef_ev_per_atom": -0.02,
  "magnetic_moment_mub_per_cell": 0.000
}

=====

# 7
{
  "formula": "BaRh2Cl",
  "functional": "PBEsol",
  "state": "relaxed",
  "lattice_angstrom": [[3.740, -0.022, 0.000], [-1.081, 3.581, 0.000], [0.000, 0.000, 6.054]],
  "species": ["Cl", "Rh", "Rh", "Ba"],
  "fractional_positions": [[0.500, 0.500, 0.000], [0.000, 0.000, 0.218], [0.000, 0.000, 0.782], [0.500, 0.500, 0.500]],
  "relative_energy_ev_per_atom": 0.3877,
  "raw_formation_energy_mev_per_atom": 417,
  "magnetic_moment_mub_per_cell": 0.351
}

=====

# 8
{
  "formula": "FeCo4",
  "functional": "PBEsol",
  "state": "relaxed",
  "lattice_angstrom": [[-0.999, 0.337, 2.551], [-2.552, 0.223, -1.029], [0.935, -7.205, -0.177]],
  "species": ["Co", "Co", "Co", "Co", "Fe"],
  "fractional_positions": [[0.701, 0.701, 0.403], [0.099, 0.099, 0.197], [0.901, 0.901, 0.803], [0.299, 0.299, 0.597], [0.500, 0.500, 0.000]],
  "relative_energy_ev_per_atom": 0.0000,
  "ef_ev_per_atom": 0.06,
  "magnetic_moment_mub_per_cell": 9.439
}

=====

# 9
{
  "formula": "Ga5W2",
  "functional": "PBEsol",
  "state": "relaxed",
  "lattice_angstrom": [[-0.728, -0.004, -2.590], [8.534, -1.825, -2.397], [-1.754, -8.864, 0.506]],
  "species": ["Ga", "Ga", "Ga", "Ga", "Ga", "Ga", "Ga", "Ga", "Ga", "Ga", "W", "W", "W", "W"],
  "fractional_positions": [[0.000, 0.558, 0.701], [0.000, 0.799, 0.942], [0.000, 0.442, 0.299], [0.000, 0.299, 0.558], [0.000, 0.000, 0.500], [0.000, 0.942, 0.201], [0.000, 0.701, 0.442], [0.000, 0.201, 0.058], [0.000, 0.500, 0.000], [0.000, 0.058, 0.799], [0.500, 0.320, 0.820], [0.500, 0.180, 0.320], [0.500, 0.680, 0.180], [0.500, 0.820, 0.680]],
  "ef_ev_per_atom": 0.01,
  "magnetic_moment_mub_per_cell": 0.000
}

=====

# 10
{
  "formula": "Ca5Ge3",
  "functional": "PBEsol",
  "state": "relaxed",
  "lattice_angstrom": [[7.619, 0.000, 0.000], [0.000, 7.619, 0.000], [-3.810, -3.810, 7.313]],
  "species": ["Ca", "Ca", "Ca", "Ca", "Ca", "Ca", "Ca", "Ca", "Ca", "Ca", "Ge", "Ge", "Ge", "Ge", "Ge", "Ge"],
  "fractional_positions": [[0.181, 0.037, 0.718], [0.037, 0.537, 0.718], [0.537, 0.681, 0.718], [0.963, 0.463, 0.282], [0.500, 0.500, 0.000], [0.819, 0.963, 0.282], [0.681, 0.181, 0.718], [0.463, 0.319, 0.282], [0.319, 0.819, 0.282], [0.000, 0.000, 0.000], [0.882, 0.618, 0.000], [0.618, 0.118, 0.000], [0.118, 0.382, 0.000], [0.250, 0.250, 0.500], [0.382, 0.882, 0.000], [0.750, 0.750, 0.500]],
  "ef_ev_per_atom": -0.66,
  "magnetic_moment_mub_per_cell": 0.000
}

=====

# 11
{
  "formula": "BaHgSe2",
  "functional": "PBEsol",
  "state": "relaxed",
  "lattice_angstrom": [[5.085, 0.000, 0.000], [2.543, 4.404, 0.000], [2.543, 1.468, 7.715]],
  "species": ["Ba", "Hg", "Se", "Se"],
  "fractional_positions": [[0.500, 0.500, 0.500], [0.000, 0.000, 0.000], [0.895, 0.895, 0.315], [0.105, 0.105, 0.685]],
  "raw_formation_energy_mev_per_atom": -1014,
  "magnetic_moment_mub_per_cell": 0.000
}

=====

# 12
{
  "formula": "Y5B4Rh15",
  "functional": "PBEsol",
  "state": "relaxed",
  "lattice_angstrom": [[4.140, 0.000, 0.000], [0.000, 4.140, 0.000], [0.000, 0.000, 20.258]],
  "species": ["B", "B", "B", "B", "Rh", "Rh", "Rh", "Rh", "Rh", "Rh", "Rh", "Rh", "Rh", "Rh", "Rh", "Rh", "Rh", "Rh", "Rh", "Y", "Y", "Y", "Y", "Y"],
  "fractional_positions": [[0.500, 0.500, 0.603], [0.500, 0.500, 0.187], [0.500, 0.500, 0.813], [0.500, 0.500, 0.397], [0.500, 0.500, 0.912], [0.500, 0.000, 0.602], [0.500, 0.000, 0.000], [0.500, 0.500, 0.088], [0.500, 0.500, 0.295], [0.500, 0.000, 0.197], [0.500, 0.000, 0.398], [0.500, 0.000, 0.803], [0.000, 0.500, 0.197], [0.000, 0.500, 0.398], [0.000, 0.500, 0.803], [0.500, 0.500, 0.500], [0.500, 0.500, 0.705], [0.000, 0.500, 0.602], [0.000, 0.500, 0.000], [0.000, 0.000, 0.500], [0.000, 0.000, 0.904], [0.000, 0.000, 0.702], [0.000, 0.000, 0.298], [0.000, 0.000, 0.096]],
  "ef_ev_per_atom": -0.73,
  "magnetic_moment_mub_per_cell": 0.002
}

=====

Results for volume: 12.379, 13.671, 34.940, 21.868, 33.490, 13.768, 20.232, 10.669, 15.742, 26.534, 43.194, 14.465 (in Å³/atom, following the order of the records).